# MnAg4Br8 | Alexandria | PBE-GGA | relaxed
# theoretical density = 5.1 g/cm3
# VASP energy = -2.96 eV/atom
# Fermi-level density of states = 11.38 states/eV/f.u.
data_MnAg4Br8
_cell_length_a 14.641
_cell_length_b 7.716
_cell_length_c 7.554
_cell_angle_alpha 90.00
_cell_angle_beta 119.99
_cell_angle_gamma 90.00
_space_group_name_H-M_alt 'C 1 2/m 1'
_space_group_IT_number 12
_space_group_name_Hall '-C 2y'
loop_
_atom_site_label
_atom_site_fract_x
_atom_site_fract_y
_atom_site_fract_z
Mn1 0.000 0.000 0.000
Ag1 0.000 0.000 0.500
Ag2 0.000 0.500 0.500
Ag3 0.250 0.250 0.000
Br1 0.002 0.250 0.243
Br2 0.216 0.000 0.220
Br3 0.244 0.000 0.755

---

# MnAg3Br6 | Alexandria | PBE-GGA | relaxed
# theoretical density = 5.2 g/cm3
# Fermi-level density of states = 3.32 states/eV/f.u.
# energy relative to the lowest polymorph listed for this composition = 0.004 eV/atom
data_MnAg3Br6
_cell_length_a 11.8392
_cell_length_b 11.8392
_cell_length_c 13.5449
_cell_angle_alpha 90.00
_cell_angle_beta 90.00
_cell_angle_gamma 120.00
_space_group_name_H-M_alt 'R -3'
_space_group_IT_number 148
_space_group_name_Hall '-R 3'
loop_
_atom_site_label
_atom_site_fract_x
_atom_site_fract_y
_atom_site_fract_z
Mn1 0.0000 0.0000 0.0000
Mn2 0.0000 0.0000 0.5000
Ag1 0.0494 0.2802 0.1972
Br1 0.0101 0.1897 0.3931
Br2 0.0182 0.1842 0.8877

---

# Mn2AgBr6 | Alexandria | PBE-GGA | relaxed
# theoretical density = 4.7 g/cm3
# Fermi-level density of states = 6.57 states/eV/f.u.
# energy relative to the lowest polymorph listed for this composition = 0.000 eV/atom
data_Mn2AgBr6
_cell_length_a 6.6756
_cell_length_b 6.6756
_cell_length_c 6.3207
_cell_angle_alpha 90.00
_cell_angle_beta 90.00
_cell_angle_gamma 120.00
_space_group_name_H-M_alt 'P -3 1 m'
_space_group_IT_number 162
_space_group_name_Hall '-P 3 2'
loop_
_atom_site_label
_atom_site_fract_x
_atom_site_fract_y
_atom_site_fract_z
Mn1 0.3333 0.6667 0.0000
Ag1 0.0000 0.0000 0.5000
Br1 0.0000 0.3538 0.2355

---

# Mn4AgBr | Alexandria | PBE-GGA | relaxed
# theoretical density = 6.1 g/cm3
# VASP energy = -6.11 eV/atom
# Fermi-level density of states = 5.53 states/eV/f.u.
data_Mn4AgBr
_cell_length_a 7.633
_cell_length_b 7.633
_cell_length_c 7.633
_cell_angle_alpha 90.00
_cell_angle_beta 90.00
_cell_angle_gamma 90.00
_space_group_name_H-M_alt 'F -4 3 m'
_space_group_IT_number 216
_space_group_name_Hall 'F -4 2 3'
loop_
_atom_site_label
_atom_site_fract_x
_atom_site_fract_y
_atom_site_fract_z
Mn1 0.124 0.124 0.124
Ag1 0.250 0.250 0.750
Br1 0.000 0.000 0.500